(1)
## Tm2Tc3Ru (PBE)

Data for an optimized crystal structure of Tm2Tc3Ru.

Values from the calculation:
formation energy: -255 meV per atom
spin magnetization: 0.000 μB per formula unit
calculated total energy: -8.4748 eV per atom
DOS(E_F): 0.993 states/eV per atom

abc: 5.2203 5.2203 5.4867
angles: 90.18 118.26 119.94
Closest atoms and distances in Å follow each position.
Positions (direct):
Tm (0.7504, 0.3751, 0.1255)  3 Ru 3.06-3.07, 9 Tc 3.12-3.24, 3 Tm 3.23
Tm (0.2496, 0.6249, 0.8745)  3 Ru 3.06-3.07, 9 Tc 3.12-3.24, 3 Tm 3.23
Tc (0.5000, 0.5000, 0.5000)  4 Tc 2.61, 2 Ru 2.74
Tc (0.0000, 0.0000, 0.5000)  4 Tc 2.61, 2 Ru 2.74
Tc (0.5000, 0.0000, 0.5000)  4 Tc 2.61, 2 Ru 2.75
Ru (0.0000, 0.0000, 0.0000)  6 Tc 2.74-2.75, 6 Tm 3.06-3.07

***

(2)
## TmTcRuW (PBE)

Data for an optimized crystal structure of TmTcRuW.

Values from the calculation:
formation energy: -126 meV per atom
spin magnetization: 0.000 μB per formula unit
calculated total energy: -9.3926 eV per atom
DOS(E_F): 0.276 states/eV per atom

abc: 4.5522 4.5522 4.5522
angles: 60.00 60.00 60.00
Closest atoms and distances in Å follow each position.
Positions (direct):
Ru (0.5000, 0.5000, 0.5000)  4 W 2.79, 4 Tm 2.79
Tm (0.2500, 0.2500, 0.2500)  4 Tc 2.79, 4 Ru 2.79
Tc (0.0000, 0.0000, 0.0000)  4 W 2.79, 4 Tm 2.79
W (0.7500, 0.7500, 0.7500)  4 Tc 2.79, 4 Ru 2.79

***

(3)
## UTc2Ru (PBE)

Data for an optimized crystal structure of UTc2Ru.

Values from the calculation:
formation energy: -100 meV per atom
spin magnetization: 0.000 μB per formula unit
calculated total energy: -10.4243 eV per atom
DOS(E_F): 0.856 states/eV per atom

abc: 4.0144 4.0253 4.0253
angles: 90.00 90.00 90.00
Closest atoms and distances in Å follow each position.
Positions (direct):
Ru (0.5000, 0.0000, 0.0000)  8 Tc 2.84, 4 U 2.85
U (0.5000, 0.5000, 0.5000)  8 Tc 2.84, 4 Ru 2.85
Tc (0.0000, 0.0000, 0.5000)  4 U 2.84, 4 Ru 2.84, 4 Tc 2.85
Tc (0.0000, 0.5000, 0.0000)  4 U 2.84, 4 Ru 2.84, 4 Tc 2.85

***

(4)
## U3TcRu (PBE)

Data for an optimized crystal structure of U3TcRu.

Values from the calculation:
formation energy: -59 meV per atom
spin magnetization: 0.000 μB per formula unit
calculated total energy: -10.7607 eV per atom
DOS(E_F): 2.189 states/eV per atom

abc: 9.3955 5.2456 7.8691
angles: 90.00 90.00 90.00
Closest atoms and distances in Å follow each position.
Positions (direct):
U (0.0659, 0.9467, 0.3535)  2 U 2.68-2.70, 2 Tc 2.68-2.86, 2 Ru 2.78-2.85
U (0.9341, 0.4467, 0.1465)  2 U 2.68-2.70, 2 Tc 2.68-2.86, 2 Ru 2.78-2.85
U (0.5659, 0.0533, 0.6465)  2 U 2.68-2.70, 2 Tc 2.68-2.86, 2 Ru 2.78-2.85
U (0.4341, 0.5533, 0.8535)  2 U 2.68-2.70, 2 Tc 2.68-2.86, 2 Ru 2.78-2.85
U (0.9341, 0.0533, 0.6465)  2 U 2.68-2.70, 2 Tc 2.68-2.86, 2 Ru 2.78-2.85
U (0.0659, 0.5533, 0.8535)  2 U 2.68-2.70, 2 Tc 2.68-2.86, 2 Ru 2.78-2.85
U (0.4341, 0.9467, 0.3535)  2 U 2.68-2.70, 2 Tc 2.68-2.86, 2 Ru 2.78-2.85
U (0.5659, 0.4467, 0.1465)  2 U 2.68-2.70, 2 Tc 2.68-2.86, 2 Ru 2.78-2.85
U (0.7500, 0.8367, 0.1887)  1 Ru 2.67, 2 U 2.70, 2 Tc 2.91
U (0.2500, 0.3367, 0.3113)  1 Ru 2.67, 2 U 2.70, 2 Tc 2.91
U (0.2500, 0.1633, 0.8113)  1 Ru 2.67, 2 U 2.70, 2 Tc 2.91
U (0.7500, 0.6633, 0.6887)  1 Ru 2.67, 2 U 2.70, 2 Tc 2.91
Tc (0.0000, 0.0000, 0.0000)  6 U 2.68-2.91, 2 Ru 2.84
Tc (0.0000, 0.5000, 0.5000)  6 U 2.68-2.91, 2 Ru 2.84
Tc (0.5000, 0.0000, 0.0000)  6 U 2.68-2.91, 2 Ru 2.84
Tc (0.5000, 0.5000, 0.5000)  6 U 2.68-2.91, 2 Ru 2.84
Ru (0.7500, 0.2376, 0.3981)  5 U 2.67-2.85, 2 Tc 2.84
Ru (0.2500, 0.7376, 0.1019)  5 U 2.67-2.85, 2 Tc 2.84
Ru (0.2500, 0.7624, 0.6019)  5 U 2.67-2.85, 2 Tc 2.84
Ru (0.7500, 0.2624, 0.8981)  5 U 2.67-2.85, 2 Tc 2.84